Entry 1:
A relaxed structure of CuHgPCl2, computed with PBE.

Calculated values
- Formation energy without anion corrections: 0.73 eV per atom
- DFT total energy: -9.9 eV per cell
- Calculated density: 4.2 Mg/m³
- ΔE to the lowest computed polymorph: 48.5 kJ per mole of atoms

Unit cell a=5.393 b=5.393 c=4.988 alpha=90.00 beta=90.00 gamma=90.00
Positions (direct):
1 Cu 0.000 0.000 0.000
2 Hg 0.500 0.500 0.500
3 P 0.500 0.500 0.000
4 Cl 0.000 0.500 0.500
5 Cl 0.500 0.000 0.500

---

Entry 2:
A relaxed structure of CuHgP2Cl, computed with PBE.

Calculated values
- Formation energy without anion corrections: 0.60 eV per atom
- DFT total energy: -14.1 eV per cell
- Calculated density: 5.8 Mg/m³
- ΔE to the lowest computed polymorph: 0.0 kJ per mole of atoms

Unit cell a=4.573 b=4.573 c=4.942 alpha=90.00 beta=90.00 gamma=90.00
Positions (direct):
1 Cu 0.000 0.000 0.000
2 Hg 0.500 0.500 0.500
3 P 0.000 0.500 0.000
4 P 0.500 0.000 0.000
5 Cl 0.000 0.000 0.500